First-principles (PBE) data for ZrSi2Se after structural relaxation, as listed in Alexandria via LeMat-Bulk.

Output
Raw total energy: -5.800 eV per atom
Size of the total moment: 0.00 μB/cell
E_form (uncorrected): -80 meV per atom
Space-group type: I-4m2 (119)

abc: 5.386 5.386 5.386
angles: 136.93 136.93 62.55
Fractional coordinates of all 4 atoms:
Si: 0.000 0.000 0.000
Si: 0.250 0.750 0.500
Zr: 0.500 0.500 0.000
Se: 0.750 0.250 0.500

---

First-principles (PBE) data for ZrSiSe after structural relaxation, as listed in Alexandria via LeMat-Bulk.

Output
Polymorph energy (0 for the lowest one): 103 kJ/mol of formula units
Raw total energy: -6.537 eV per atom
Size of the total moment: 0.00 μB/cell
E_form (uncorrected): -718 meV per atom
Space-group type: Cm (8)

abc: 8.486 3.589 9.651
angles: 90.00 119.22 90.00
Fractional coordinates of all 12 atoms:
Se: 0.576 0.000 0.137
Se: 0.226 0.000 0.726
Se: 0.226 0.500 0.226
Se: 0.576 0.500 0.637
Zr: 0.929 0.500 0.659
Zr: 0.929 0.000 0.159
Zr: 0.309 0.500 0.975
Zr: 0.309 0.000 0.475
Si: 0.820 0.500 0.904
Si: 0.009 0.500 0.399
Si: 0.820 0.000 0.404
Si: 0.009 0.000 0.899

---

First-principles (PBE) data for Zr2SiSe after structural relaxation, as listed in Alexandria via LeMat-Bulk.

Output
Polymorph energy (0 for the lowest one): 203 kJ/mol of formula units
Raw total energy: -6.992 eV per atom
Size of the total moment: 0.00 μB/cell
E_form (uncorrected): -491 meV per atom
Space-group type: I-4m2 (119)

abc: 5.993 5.993 5.993
angles: 142.51 142.51 54.06
Fractional coordinates of all 4 atoms:
Se: 0.500 0.500 0.000
Zr: 0.000 0.000 0.000
Zr: 0.250 0.750 0.500
Si: 0.750 0.250 0.500

---

First-principles (PBE) data for Zr3SiSe3 after structural relaxation, as listed in Alexandria via LeMat-Bulk.

Output
Raw total energy: -7.138 eV per atom
Size of the total moment: 0.00 μB/cell
E_form (uncorrected): -1206 meV per atom
Space-group type: I4_132 (214)

abc: 9.355 9.355 9.355
angles: 109.47 109.47 109.47
Fractional coordinates of all 28 atoms:
Se: 0.750 0.995 0.505
Se: 0.750 0.755 0.745
Se: 0.011 0.505 0.755
Se: 0.489 0.745 0.995
Se: 0.245 0.250 0.755
Se: 0.245 0.995 0.989
Se: 0.495 0.989 0.745
Se: 0.005 0.250 0.995
Se: 0.255 0.511 0.505
Se: 0.005 0.755 0.511
Se: 0.255 0.745 0.250
Se: 0.495 0.505 0.250
Zr: 0.995 0.750 0.005
Zr: 0.250 0.245 0.255
Zr: 0.745 0.255 0.750
Zr: 0.510 0.255 0.005
Zr: 0.505 0.495 0.750
Zr: 0.745 0.490 0.495
Zr: 0.250 0.005 0.495
Zr: 0.505 0.010 0.255
Zr: 0.995 0.245 0.490
Zr: 0.755 0.750 0.245
Zr: 0.755 0.005 0.010
Zr: 0.990 0.495 0.245
Si: 0.750 0.250 0.250
Si: 0.750 0.500 0.000
Si: 0.000 0.000 0.250
Si: 0.500 0.250 0.500